(1)
18
Lattice="8.302 0.426 4.029 4.212 8.108 2.938 1.568 -1.296 9.379" Properties=species:S:1:pos:R:3 comment="TbEr2Th6, relaxed, DFT PBE" ef_ev_per_atom=0.1259 total_energy_ev_per_cell=-114.3 pbc="T T T"
Th 7.184 7.502 5.918
Th 7.158 3.172 10.189
Th 2.120 1.534 5.730
Th 11.961 5.703 10.616
Th 7.978 1.025 7.423
Er 1.979 2.344 1.585
Th 9.595 4.079 12.545
Er 5.471 0.213 5.205
Er 8.611 7.024 11.141
Th 9.349 0.650 12.771
Th 4.486 3.158 3.801
Tb 9.453 4.923 8.360
Th 4.733 6.587 3.575
Er 12.103 4.893 14.761
Tb 4.629 2.315 7.986
Th 6.104 6.212 8.923
Th 6.923 4.065 6.157
Th 6.898 -0.265 10.428

***

(2)
4
Lattice="4.720 -0.021 0.000 -1.326 4.530 0.000 0.000 0.000 2.808" Properties=species:S:1:pos:R:3 comment="Os3Se, relaxed, DFT PBE" raw_formation_energy_kj_per_mol_fu=311 total_energy_ev_per_cell=-33.9 pbc="T T T"
Os 1.697 2.254 0.000
Se 0.000 0.000 0.000
Os 2.360 -0.011 1.404
Os -0.663 2.265 1.404

***

(3)
10
Lattice="-1.943 2.150 2.834 -3.543 -1.463 -1.319 0.800 -7.694 6.386" Properties=species:S:1:pos:R:3 comment="Y2MnNi3Ge4, relaxed, DFT PBE" ef_ev_per_atom=-0.6294 total_energy_ev_per_cell=-64.2 pbc="T T T"
Mn -2.343 -3.503 3.951
Ge 0.000 0.000 0.000
Ni -1.671 -1.698 0.142
Ni -0.272 -5.653 7.001
Y -1.167 -6.542 4.163
Ge -1.483 -3.509 1.646
Ni 0.400 -3.847 3.193
Y -0.776 -0.809 2.981
Ge -0.460 -3.841 5.498
Ge -2.743 0.344 0.758

***

(4)
8
Lattice="-0.421 3.055 -1.296 -3.315 -1.521 -2.508 -5.746 1.934 6.424" Properties=species:S:1:pos:R:3 comment="HfNb3Ru4, relaxed, DFT PBE" ef_ev_per_atom=-0.3282 total_energy_ev_per_cell=-79.9 pbc="T T T"
Hf -1.868 0.767 -1.902
Ru 0.000 0.000 0.000
Nb -4.471 2.962 4.115
Ru -5.959 0.687 3.554
Nb -4.741 1.734 1.310
Ru -3.103 -0.274 0.362
Ru -2.873 0.967 3.212
Nb -1.696 2.027 1.012